Entry from the Alexandria database: a relaxed structure of Ce2MnSi5 (PBE).

Calculated values
Crystal system: tetragonal
E_form (uncorrected): -3.79 eV/f.u.
SG: No. 107

Geometry as POSCAR:
```
Ce2MnSi5
1.0
-2.888 2.888 4.397
2.888 -2.888 4.397
2.888 2.888 -4.397
Ce Mn Si
2 1 5
Cartesian
2.888 0.000 0.000
0.000 2.888 0.000
0.000 0.000 1.870
1.637 1.637 2.166
1.251 -1.251 6.564
0.000 0.000 8.381
-1.251 1.251 6.564
1.251 1.251 6.564
```